# 1
NpTl2Cu3Cl12 after structural relaxation, computed with PBE.

a b c (Å): 10.5205 10.5205 10.5205
angles (deg): 47.62 47.62 47.62
Fractional positions:
Np1 0.0000 0.0000 0.0000
Tl1 0.4291 0.4291 0.4291
Tl2 0.5709 0.5709 0.5709
Cu1 0.0000 0.0000 0.5000
Cu2 0.0000 0.5000 0.0000
Cu3 0.5000 0.0000 0.0000
Cl1 0.0797 0.6823 0.6823
Cl2 0.0884 0.0884 0.6670
Cl3 0.0884 0.6670 0.0884
Cl4 0.3177 0.3177 0.9203
Cl5 0.3177 0.9203 0.3177
Cl6 0.3330 0.9116 0.9116
Cl7 0.6670 0.0884 0.0884
Cl8 0.6823 0.0797 0.6823
Cl9 0.6823 0.6823 0.0797
Cl10 0.9116 0.3330 0.9116
Cl11 0.9116 0.9116 0.3330
Cl12 0.9203 0.3177 0.3177

Calculated values
Calculated total energy = -68.598 eV for the cell shown
DOS(E_F) = 0.6317 states/eV per atom
Uncorrected formation energy = -88.32 kJ/mol of atoms
Spin magnetization = 2.0 Bohr magnetons per cell


# 2
SrLa2In2 after structural relaxation, computed with PBE.

a b c (Å): 4.9516 4.9516 14.6442
angles (deg): 90.00 90.00 90.00
Fractional positions:
Sr1 0.0000 0.0000 0.0000
Sr2 0.5000 0.5000 0.5000
La1 0.0000 0.5000 0.2500
La2 0.0000 0.5000 0.7500
La3 0.5000 0.0000 0.2500
La4 0.5000 0.0000 0.7500
In1 0.0000 0.0000 0.4034
In2 0.0000 0.0000 0.5966
In3 0.5000 0.5000 0.0966
In4 0.5000 0.5000 0.9034

Calculated values
Calculated total energy = -36.622 eV for the cell shown
DOS(E_F) = 1.6845 states/eV per atom
Formation energy from the elements = -259 meV per atom
Spin magnetization = 0.0 Bohr magnetons per cell


# 3
AlRhBr2 after structural relaxation, computed with PBE.

a b c (Å): 3.6556 3.6556 26.5658
angles (deg): 90.00 90.00 120.00
Fractional positions:
Al1 0.0000 0.0000 0.0000
Al2 0.3333 0.6667 0.6667
Al3 0.6667 0.3333 0.3333
Rh1 0.0000 0.0000 0.5000
Rh2 0.3333 0.6667 0.1667
Rh3 0.6667 0.3333 0.8333
Br1 0.0000 0.0000 0.1087
Br2 0.0000 0.0000 0.8913
Br3 0.3333 0.6667 0.5579
Br4 0.3333 0.6667 0.7754
Br5 0.6667 0.3333 0.2246
Br6 0.6667 0.3333 0.4421

Calculated values
Calculated total energy = -40.410 eV for the cell shown
DOS(E_F) = 0.9316 states/eV per atom
Uncorrected formation energy = 23.39 kJ/mol of atoms
Spin magnetization = 4.1 Bohr magnetons per cell


# 4
TaCoNi2 after structural relaxation, computed with PBE.

a b c (Å): 3.1613 3.1613 5.1045
angles (deg): 90.00 90.00 90.00
Fractional positions:
Ta1 0.0000 0.0000 0.0000
Co1 0.0000 0.0000 0.5000
Ni1 0.5000 0.5000 0.2601
Ni2 0.5000 0.5000 0.7399

Calculated values
Calculated total energy = -30.889 eV for the cell shown
DOS(E_F) = 0.9547 states/eV per atom
Formation energy from the elements = -92 meV per atom
Spin magnetization = 1.0 Bohr magnetons per cell